No. 1
# Ni2HgSe2, optimized geometry, DFT PBE-GGA
# DFT total energy	-3.68	eV/atom
data_Ni2HgSe2
_chemical_formula_sum 'Ni4 Hg2 Se4'
_cell_length_a 4.444
_cell_length_b 4.444
_cell_length_c 12.382
_cell_angle_alpha 90.00
_cell_angle_beta 90.00
_cell_angle_gamma 90.00
_symmetry_space_group_name_H-M 'I 4/m m m'
_symmetry_Int_Tables_number 139
_symmetry_space_group_name_Hall '-I 4 2'
loop_
_atom_site_label
_atom_site_fract_x
_atom_site_fract_y
_atom_site_fract_z
Ni1 0.000 0.000 0.185
Hg1 0.000 0.000 0.500
Se1 0.000 0.500 0.250


No. 2
# NiHg2Se, optimized geometry, DFT PBE-GGA
# DFT total energy	-2.20	eV/atom
data_NiHg2Se
_chemical_formula_sum 'Ni3 Hg6 Se3'
_cell_length_a 3.9826
_cell_length_b 3.9826
_cell_length_c 18.5500
_cell_angle_alpha 90.00
_cell_angle_beta 90.00
_cell_angle_gamma 120.00
_symmetry_space_group_name_H-M 'R -3 m'
_symmetry_Int_Tables_number 166
_symmetry_space_group_name_Hall '-R 3 2"'
loop_
_atom_site_label
_atom_site_fract_x
_atom_site_fract_y
_atom_site_fract_z
Ni1 0.0000 0.0000 0.0000
Hg1 0.0000 0.0000 0.2610
Se1 0.0000 0.0000 0.5000


No. 3
# NiHgSe, optimized geometry, DFT PBE-GGA
# DFT total energy	-3.23	eV/atom
data_NiHgSe
_chemical_formula_sum 'Ni2 Hg2 Se2'
_cell_length_a 4.473
_cell_length_b 4.472
_cell_length_c 7.214
_cell_angle_alpha 90.00
_cell_angle_beta 107.54
_cell_angle_gamma 90.00
_symmetry_space_group_name_H-M 'C 1 m 1'
_symmetry_Int_Tables_number 8
loop_
_symmetry_equiv_pos_as_xyz
'x,y,z'
'x,-y,z'
'x+1/2,y+1/2,z'
'x+1/2,-y+1/2,z'
loop_
_atom_site_label
_atom_site_fract_x
_atom_site_fract_y
_atom_site_fract_z
Ni1 0.000 0.000 0.000
Hg1 0.201 0.000 0.398
Se1 0.442 0.000 0.880


> Among the records above, which one has the lowest DFT total energy?

Ni2HgSe2


Repeat the third record exactly.
# NiHgSe, optimized geometry, DFT PBE-GGA
# DFT total energy	-3.23	eV/atom
data_NiHgSe
_chemical_formula_sum 'Ni2 Hg2 Se2'
_cell_length_a 4.473
_cell_length_b 4.472
_cell_length_c 7.214
_cell_angle_alpha 90.00
_cell_angle_beta 107.54
_cell_angle_gamma 90.00
_symmetry_space_group_name_H-M 'C 1 m 1'
_symmetry_Int_Tables_number 8
loop_
_symmetry_equiv_pos_as_xyz
'x,y,z'
'x,-y,z'
'x+1/2,y+1/2,z'
'x+1/2,-y+1/2,z'
loop_
_atom_site_label
_atom_site_fract_x
_atom_site_fract_y
_atom_site_fract_z
Ni1 0.000 0.000 0.000
Hg1 0.201 0.000 0.398
Se1 0.442 0.000 0.880


> Number 1 is which compound?

Ni2HgSe2


> The highest DFT total energy belongs to which entry?

NiHg2Se